(1)
Density functional theory data (PBE-GGA) for crystalline Dy3Cd3Ag2Au at its relaxed geometry.

abc: 7.8133 7.8133 3.9466
angles: 90.00 90.00 120.00
Fractional coordinates of all 9 atoms:
Cd  0.0000  0.2652  0.0000
Dy  0.6013  0.0000  0.5000
Ag  0.6667  0.3333  0.0000
Au  0.0000  0.0000  0.5000
Cd  0.7348  0.7348  0.0000
Dy  0.3987  0.3987  0.5000
Ag  0.3333  0.6667  0.0000
Dy  0.0000  0.6013  0.5000
Cd  0.2652  0.0000  0.0000

***

(2)
Density functional theory data (PBE-GGA) for crystalline DyEr2Cd3AgAu2 at its relaxed geometry.

abc: 3.8239 7.8417 7.8417
angles: 120.10 90.00 90.00
Fractional coordinates of all 9 atoms:
Er  0.0000  0.0000  0.5918
Cd  0.5000  0.7382  0.7382
Er  0.0000  0.5918  0.0000
Au  0.5000  0.6679  0.3330
Cd  0.5000  0.2623  0.9994
Cd  0.5000  0.9994  0.2623
Ag  0.0000  0.9994  0.9994
Au  0.5000  0.3330  0.6679
Dy  0.0000  0.4080  0.4080

***

(3)
Density functional theory data (PBE-GGA) for crystalline GdDy2Cd3AgAu2 at its relaxed geometry.

abc: 3.8398 7.8829 7.8829
angles: 120.03 90.00 90.00
Fractional coordinates of all 9 atoms:
Gd  0.0000  0.5916  0.5916
Au  0.5000  0.3330  0.6668
Cd  0.5000  0.0001  0.7373
Au  0.5000  0.6668  0.3330
Dy  0.0000  0.0000  0.4085
Ag  0.0000  0.0001  0.0001
Cd  0.5000  0.7373  0.0001
Cd  0.5000  0.2625  0.2625
Dy  0.0000  0.4085  0.0000

***

(4)
Density functional theory data (PBE-GGA) for crystalline La2DyCd3AgAu2 at its relaxed geometry.

abc: 3.9650 8.0260 8.0260
angles: 119.86 90.00 90.00
Fractional coordinates of all 9 atoms:
Cd  0.5000  0.2606  0.2606
La  0.0000  0.4091  0.9998
La  0.0000  0.9998  0.4091
Dy  0.0000  0.5908  0.5908
Cd  0.5000  0.9944  0.7421
Ag  0.0000  0.9974  0.9974
Au  0.5000  0.6644  0.3414
Au  0.5000  0.3414  0.6644
Cd  0.5000  0.7421  0.9944

***

The magnetic moment results, record by record, are as follows: 0.01; 0.02; 0.01; 0.04 μB/cell.
The energy of formation results, record by record, are as follows: -0.4244; -0.5775; -0.5824; -0.5864 eV per atom.
The VASP energy results, record by record, are as follows: -3.247; -3.441; -3.460; -3.530 eV per atom.